[1]
{
  "formula": "Ta2GeCSe",
  "functional": "GGA-PBE",
  "state": "optimized geometry",
  "cell": [[-0.381, 4.899, 0.179], [-2.258, -0.069, -2.901], [-3.861, -0.411, 3.016]],
  "species": ["Ge", "C", "Se", "Ta", "Ta"],
  "frac_coords": [[0.000, 0.000, 0.000], [0.000, 0.500, 0.000], [0.500, 0.500, 0.500], [0.000, 0.000, 0.500], [0.500, 0.000, 0.000]],
  "raw_formation_energy_ev_per_atom": 1.44,
  "mass_density_g_cm3": 9.82,
  "spacegroup": "P4/mmm, No. 123",
  "energy_ev_per_atom": -6.767
}



[2]
{
  "formula": "Tb4GeCSe2",
  "functional": "GGA-PBE",
  "state": "optimized geometry",
  "cell": [[-3.523, -1.279, -1.196], [3.032, -5.494, -3.056], [-1.637, -1.726, 6.670]],
  "species": ["Tb", "Tb", "Tb", "Tb", "Ge", "C", "Se", "Se"],
  "frac_coords": [[0.500, 0.265, 0.226], [0.500, 0.735, 0.774], [0.000, 0.281, 0.789], [0.000, 0.719, 0.211], [0.000, 0.000, 0.000], [0.500, 0.500, 0.000], [0.500, 0.000, 0.500], [0.000, 0.500, 0.500]],
  "raw_formation_energy_ev_per_atom": -1.21,
  "mass_density_g_cm3": 7.92,
  "spacegroup": "P2/m, No. 10",
  "energy_ev_per_atom": -6.123
}



[3]
{
  "formula": "Th6Ge3C2Se",
  "functional": "GGA-PBE",
  "state": "optimized geometry",
  "cell": [[4.083, 0.000, 0.000], [0.000, 8.338, 0.330], [-2.041, -2.366, 8.649]],
  "species": ["Th", "Th", "Th", "Th", "Th", "Th", "Ge", "Ge", "Ge", "C", "C", "Se"],
  "frac_coords": [[0.326, 0.885, 0.652], [0.675, 0.566, 0.351], [0.674, 0.115, 0.348], [0.018, 0.265, 0.036], [0.982, 0.735, 0.964], [0.325, 0.434, 0.649], [0.500, 0.500, 0.000], [0.842, 0.166, 0.684], [0.158, 0.834, 0.316], [0.829, 0.665, 0.659], [0.171, 0.335, 0.341], [0.500, 0.000, 0.000]],
  "raw_formation_energy_ev_per_atom": -0.68,
  "mass_density_g_cm3": 9.56,
  "spacegroup": "C2/m, No. 12",
  "energy_ev_per_atom": -7.374
}



[4]
{
  "formula": "Th6Ge2C3Se",
  "functional": "GGA-PBE",
  "state": "optimized geometry",
  "cell": [[-3.417, 1.028, 1.438], [-1.865, -8.092, 1.352], [5.745, 2.530, 6.698]],
  "species": ["Th", "Th", "Th", "Th", "Th", "Th", "Ge", "Ge", "C", "C", "C", "Se"],
  "frac_coords": [[0.326, 0.941, 0.651], [0.658, 0.610, 0.317], [0.674, 0.059, 0.349], [0.993, 0.279, 0.986], [0.007, 0.721, 0.014], [0.342, 0.390, 0.683], [0.834, 0.667, 0.667], [0.166, 0.333, 0.333], [0.500, 0.500, 0.000], [0.832, 0.161, 0.664], [0.168, 0.839, 0.336], [0.500, 0.000, 0.000]],
  "raw_formation_energy_ev_per_atom": -0.66,
  "mass_density_g_cm3": 9.88,
  "spacegroup": "C2/m, No. 12",
  "energy_ev_per_atom": -7.733
}



[5]
{
  "formula": "Th6GeC3Se2",
  "functional": "GGA-PBE",
  "state": "optimized geometry",
  "cell": [[3.875, 0.000, 0.000], [0.000, 8.339, -0.005], [-1.938, -2.725, 8.534]],
  "species": ["Th", "Th", "Th", "Th", "Th", "Th", "Ge", "C", "C", "C", "Se", "Se"],
  "frac_coords": [[0.324, 0.945, 0.649], [0.656, 0.610, 0.311], [0.676, 0.055, 0.351], [0.991, 0.275, 0.982], [0.009, 0.725, 0.018], [0.344, 0.390, 0.689], [0.500, 0.000, 0.000], [0.500, 0.500, 0.000], [0.834, 0.172, 0.668], [0.166, 0.828, 0.332], [0.831, 0.665, 0.663], [0.169, 0.335, 0.337]],
  "raw_formation_energy_ev_per_atom": -0.88,
  "mass_density_g_cm3": 9.99,
  "spacegroup": "C2/m, No. 12",
  "energy_ev_per_atom": -7.861
}



[6]
{
  "formula": "Th4GeCSe2",
  "functional": "GGA-PBE",
  "state": "optimized geometry",
  "cell": [[-2.925, -2.477, -1.354], [4.978, -4.427, -2.657], [-1.479, -2.022, 6.896]],
  "species": ["Th", "Th", "Th", "Th", "Ge", "C", "Se", "Se"],
  "frac_coords": [[0.500, 0.271, 0.221], [0.500, 0.729, 0.779], [0.000, 0.286, 0.790], [0.000, 0.714, 0.210], [0.000, 0.000, 0.000], [0.500, 0.500, 0.000], [0.500, 0.000, 0.500], [0.000, 0.500, 0.500]],
  "raw_formation_energy_ev_per_atom": -1.09,
  "mass_density_g_cm3": 9.59,
  "spacegroup": "P2/m, No. 10",
  "energy_ev_per_atom": -7.406
}



[7]
{
  "formula": "Th6GeC2Se3",
  "functional": "GGA-PBE",
  "state": "optimized geometry",
  "cell": [[4.007, 0.000, 0.000], [0.000, 8.420, 0.097], [-2.004, -2.630, 8.672]],
  "species": ["Th", "Th", "Th", "Th", "Th", "Th", "Ge", "C", "C", "Se", "Se", "Se"],
  "frac_coords": [[0.331, 0.874, 0.663], [0.679, 0.558, 0.357], [0.669, 0.126, 0.337], [0.020, 0.256, 0.041], [0.980, 0.744, 0.959], [0.321, 0.442, 0.643], [0.500, 0.000, 0.000], [0.828, 0.662, 0.656], [0.172, 0.338, 0.344], [0.500, 0.500, 0.000], [0.840, 0.167, 0.679], [0.160, 0.833, 0.321]],
  "raw_formation_energy_ev_per_atom": -1.08,
  "mass_density_g_cm3": 9.76,
  "spacegroup": "C2/m, No. 12",
  "energy_ev_per_atom": -7.588
}



[8]
{
  "formula": "Tm6GeC2Se3",
  "functional": "GGA-PBE",
  "state": "optimized geometry",
  "cell": [[3.779, 0.000, 0.000], [0.000, 7.999, 0.188], [-1.890, -2.403, 8.229]],
  "species": ["Tm", "Tm", "Tm", "Tm", "Tm", "Tm", "Ge", "C", "C", "Se", "Se", "Se"],
  "frac_coords": [[0.330, 0.874, 0.661], [0.680, 0.558, 0.359], [0.670, 0.126, 0.339], [0.020, 0.259, 0.040], [0.980, 0.741, 0.960], [0.320, 0.442, 0.641], [0.500, 0.000, 0.000], [0.829, 0.658, 0.657], [0.171, 0.342, 0.343], [0.500, 0.500, 0.000], [0.837, 0.169, 0.675], [0.163, 0.831, 0.325]],
  "raw_formation_energy_ev_per_atom": -1.21,
  "mass_density_g_cm3": 8.93,
  "spacegroup": "C2/m, No. 12",
  "energy_ev_per_atom": -6.236
}